! Sm5Er2Th4 | the Alexandria database | PBE | relaxed; values from VASP
! E_tot   -5.444 eV/atom
! Symmetry   No. 12
! Calculated formation energy   243 kJ/mol of formula units
&SYSTEM
  ibrav = 0, nat = 11, ntyp = 3
/
ATOMIC_SPECIES
Sm 150.36 Sm.upf
Th 232.04 Th.upf
Er 167.26 Er.upf
ATOMIC_POSITIONS crystal
Sm 0.8385 0.3782 0.1697
Sm 0.0000 0.0000 0.5000
Sm 0.3783 0.8385 0.1697
Sm 0.6217 0.1615 0.8303
Sm 0.1615 0.6218 0.8303
Th 0.6558 0.6558 0.8234
Th 0.6461 0.6460 0.5033
Th 0.3442 0.3442 0.1766
Th 0.3539 0.3540 0.4967
Er 0.8722 0.8721 0.1619
Er 0.1278 0.1279 0.8381
CELL_PARAMETERS angstrom
-4.6679 -0.1528 5.1629
-1.0427 -5.8678 3.5996
4.3133 0.3632 8.6714

! La3PrTh4Se8 | the Alexandria database | PBE | relaxed; values from VASP
! E_tot   -6.569 eV/atom
! Symmetry   No. 12
&SYSTEM
  ibrav = 0, nat = 16, ntyp = 4
/
ATOMIC_SPECIES
Th 232.04 Th.upf
Se 78.96 Se.upf
Pr 140.91 Pr.upf
La 138.91 La.upf
ATOMIC_POSITIONS crystal
Th 0.0000 0.0000 0.0000
Th 0.5000 0.0000 0.5000
Th 0.0000 0.0000 0.5000
Th 0.5000 0.0000 0.0000
Se 0.2487 0.2459 0.4973
Se 0.2505 0.7533 0.0028
Se 0.2505 0.7533 0.5010
Se 0.7495 0.2467 0.4990
Se 0.7513 0.7541 0.5027
Se 0.7524 0.7533 0.0028
Se 0.7495 0.2467 0.9972
Se 0.2476 0.2467 0.9972
Pr 0.0000 0.5000 0.0000
La 0.5000 0.5000 0.0000
La 0.5000 0.5000 0.5000
La 0.0000 0.5000 0.5000
CELL_PARAMETERS angstrom
8.4375 0.0000 0.0000
0.0000 8.5567 0.0877
-4.2188 -4.2076 5.9646

! Th5InOs2 | the Alexandria database | PBE | relaxed; values from VASP
! E_tot   -8.102 eV/atom
! Symmetry   No. 140
! Calculated formation energy   -243 kJ/mol of formula units
&SYSTEM
  ibrav = 0, nat = 16, ntyp = 3
/
ATOMIC_SPECIES
Th 232.04 Th.upf
Os 190.23 Os.upf
In 114.82 In.upf
ATOMIC_POSITIONS crystal
Th 0.9754 0.4754 0.2693
Th 0.2938 0.7938 0.2693
Th 0.7062 0.2062 0.7307
Th 0.5246 0.7062 0.7307
Th 0.0246 0.5246 0.7307
Th 0.7938 0.9754 0.2693
Th 0.4754 0.2938 0.2693
Th 0.2062 0.0246 0.7307
Th 0.0000 0.0000 0.0000
Th 0.5000 0.5000 0.0000
Os 0.8607 0.6393 0.0000
Os 0.6393 0.1393 0.0000
Os 0.3607 0.8607 0.0000
Os 0.1393 0.3607 0.0000
In 0.2500 0.2500 0.5000
In 0.7500 0.7500 0.5000
CELL_PARAMETERS angstrom
7.2381 0.0000 -3.4168
-1.6129 7.0561 -3.4168
-0.2180 -0.2735 8.9132

! ScTaBe2 | the Alexandria database | PBE | relaxed; values from VASP
! E_tot   -6.412 eV/atom
! Symmetry   No. 123
! Calculated formation energy   -1 kJ/mol of formula units
&SYSTEM
  ibrav = 0, nat = 4, ntyp = 3
/
ATOMIC_SPECIES
Be 9.01 Be.upf
Sc 44.96 Sc.upf
Ta 180.95 Ta.upf
ATOMIC_POSITIONS crystal
Be 0.0000 0.1248 0.8748
Be 0.5000 0.1248 0.3753
Sc 0.0000 0.6244 0.3748
Ta 0.5000 0.6260 0.8751
CELL_PARAMETERS angstrom
-2.6944 -2.5089 2.3659
-1.4045 -0.8229 -2.4722
2.7535 -3.3735 -0.4416

! La2InCl | the Alexandria database | PBE | relaxed; values from VASP
! E_tot   -4.610 eV/atom
! Symmetry   No. 10
&SYSTEM
  ibrav = 0, nat = 4, ntyp = 3
/
ATOMIC_SPECIES
La 138.91 La.upf
Cl 35.45 Cl.upf
In 114.82 In.upf
ATOMIC_POSITIONS crystal
La 0.0000 0.2510 0.5143
La 0.0000 0.2490 0.9857
Cl 0.5000 0.2500 0.2500
In 0.5000 0.7500 0.7500
CELL_PARAMETERS angstrom
-2.1983 -1.2561 2.8247
-2.8291 -0.5856 -2.4621
2.8537 -8.0898 -1.3765

! AlFeNiI2 | the Alexandria database | PBE | relaxed; values from VASP
! E_tot   -3.537 eV/atom
! Symmetry   No. 123
&SYSTEM
  ibrav = 0, nat = 5, ntyp = 4
/
ATOMIC_SPECIES
I 126.90 I.upf
Fe 55.84 Fe.upf
Al 26.98 Al.upf
Ni 58.69 Ni.upf
ATOMIC_POSITIONS crystal
I 0.0000 0.0000 0.5000
I 0.5000 0.0000 0.0000
Fe 0.0000 0.0000 0.0000
Al 0.5000 0.5000 0.5000
Ni 0.0000 0.5000 0.0000
CELL_PARAMETERS angstrom
5.3622 0.0000 0.0000
0.0000 4.5396 0.0000
0.0000 0.0000 5.3622

! CsMnSe3 | the Alexandria database | PBE | relaxed; values from VASP
! E_tot   -2.814 eV/atom
! Symmetry   No. 221
&SYSTEM
  ibrav = 0, nat = 5, ntyp = 3
/
ATOMIC_SPECIES
Cs 132.91 Cs.upf
Mn 54.94 Mn.upf
Se 78.96 Se.upf
ATOMIC_POSITIONS crystal
Cs 0.0000 0.0000 0.0000
Mn 0.5000 0.5000 0.5000
Se 0.0000 0.5000 0.0000
Se 0.0000 0.0000 0.5000
Se 0.5000 0.0000 0.0000
CELL_PARAMETERS angstrom
5.7372 0.0000 0.0000
0.0000 5.7372 0.0000
0.0000 0.0000 5.7372

! NaHN2 | the Alexandria database | PBE | relaxed; values from VASP
! E_tot   -3.829 eV/atom
! Symmetry   No. 166
&SYSTEM
  ibrav = 0, nat = 4, ntyp = 3
/
ATOMIC_SPECIES
Na 22.99 Na.upf
N 14.01 N.upf
H 1.01 H.upf
ATOMIC_POSITIONS crystal
Na 0.0000 0.0000 0.0000
N 0.8130 0.8130 0.8130
N 0.1870 0.1870 0.1870
H 0.5000 0.5000 0.5000
CELL_PARAMETERS angstrom
-3.4784 1.6416 -2.5406
-3.8304 2.5192 0.4800
-1.7606 4.0317 -1.3765

! TbSc3Ga4 | the Alexandria database | PBE | relaxed; values from VASP
! E_tot   -5.046 eV/atom
! Symmetry   No. 123
! Calculated formation energy   -448 kJ/mol of formula units
&SYSTEM
  ibrav = 0, nat = 16, ntyp = 3
/
ATOMIC_SPECIES
Sc 44.96 Sc.upf
Ga 69.72 Ga.upf
Tb 158.93 Tb.upf
ATOMIC_POSITIONS crystal
Sc 0.5001 0.5000 0.7500
Sc 0.0000 0.0000 0.0000
Sc 0.0000 0.0000 0.5000
Sc 0.5003 0.0000 0.7500
Sc 0.4999 0.5000 0.2500
Sc 0.4997 0.0000 0.2500
Ga 0.0002 0.7628 0.7500
Ga 0.5000 0.2372 0.5000
Ga 0.9998 0.2372 0.2500
Ga 0.5000 0.7628 0.5000
Ga 0.0002 0.2372 0.7500
Ga 0.5000 0.7628 0.0000
Ga 0.9998 0.7628 0.2500
Ga 0.5000 0.2372 0.0000
Tb 0.0000 0.5000 0.0000
Tb 0.0000 0.5000 0.5000
CELL_PARAMETERS angstrom
-2.2014 3.5951 -2.3766
-5.9625 -1.8397 2.7399
1.6078 5.9290 7.4796

! HfCr2Re2 | the Alexandria database | PBE | relaxed; values from VASP
! E_tot   -10.603 eV/atom
! Symmetry   No. 139
! Calculated formation energy   104 kJ/mol of formula units
&SYSTEM
  ibrav = 0, nat = 5, ntyp = 3
/
ATOMIC_SPECIES
Hf 178.49 Hf.upf
Cr 52.00 Cr.upf
Re 186.21 Re.upf
ATOMIC_POSITIONS crystal
Hf 0.0000 0.0000 0.0000
Cr 0.2500 0.7500 0.5000
Cr 0.7500 0.2500 0.5000
Re 0.6219 0.6219 0.7563
Re 0.3781 0.3781 0.2437
CELL_PARAMETERS angstrom
4.0139 0.0000 0.0000
0.0000 4.0139 0.0000
2.0070 2.0070 5.1831

! CaLa2Cd2Sn2 | the Alexandria database | PBE | relaxed; values from VASP
! E_tot   -3.459 eV/atom
! Symmetry   No. 166
! Calculated formation energy   -243 kJ/mol of formula units
&SYSTEM
  ibrav = 0, nat = 7, ntyp = 4
/
ATOMIC_SPECIES
Cd 112.41 Cd.upf
Sn 118.71 Sn.upf
Ca 40.08 Ca.upf
La 138.91 La.upf
ATOMIC_POSITIONS crystal
Cd 0.4075 0.4075 0.7774
Cd 0.5925 0.5925 0.2226
Sn 0.7365 0.7365 0.7904
Sn 0.2635 0.2635 0.2096
Ca 0.0000 0.0000 0.0000
La 0.1303 0.1303 0.6090
La 0.8697 0.8697 0.3910
CELL_PARAMETERS angstrom
5.0502 0.0000 0.0000
2.5251 4.3736 0.0000
2.5251 1.4579 9.4264

! KRb2Cd3 | the Alexandria database | PBE | relaxed; values from VASP
! E_tot   -0.965 eV/atom
! Symmetry   No. 12
! Calculated formation energy   -1 kJ/mol of formula units
&SYSTEM
  ibrav = 0, nat = 6, ntyp = 3
/
ATOMIC_SPECIES
Cd 112.41 Cd.upf
Rb 85.47 Rb.upf
K 39.10 K.upf
ATOMIC_POSITIONS crystal
Cd 0.0000 0.0000 0.5000
Cd 0.5000 0.5000 0.5000
Cd 0.5000 0.0000 0.5000
Rb 0.7785 0.3910 0.1695
Rb 0.2215 0.6090 0.8305
K 0.0000 0.0000 0.0000
CELL_PARAMETERS angstrom
5.9112 -0.0916 -3.1293
-3.7067 5.5576 -0.3416
0.0465 0.3653 7.3442

! TbRuF | the Alexandria database | PBE | relaxed; values from VASP
! E_tot   -6.870 eV/atom
! Symmetry   No. 129
&SYSTEM
  ibrav = 0, nat = 6, ntyp = 3
/
ATOMIC_SPECIES
Tb 158.93 Tb.upf
F 19.00 F.upf
Ru 101.07 Ru.upf
ATOMIC_POSITIONS crystal
Tb 0.5000 0.0000 0.7972
Tb 0.0000 0.5000 0.2028
F 0.0000 0.5000 0.9278
F 0.5000 0.0000 0.0722
Ru 0.0000 0.5000 0.5709
Ru 0.5000 0.0000 0.4291
CELL_PARAMETERS angstrom
3.1910 0.0000 0.0000
0.0000 3.1910 0.0000
0.0000 0.0000 9.2114

! TaAgPd6 | the Alexandria database | PBE | relaxed; values from VASP
! E_tot   -6.047 eV/atom
! Symmetry   No. 123
! Calculated formation energy   -243 kJ/mol of formula units
&SYSTEM
  ibrav = 0, nat = 8, ntyp = 3
/
ATOMIC_SPECIES
Pd 106.42 Pd.upf
Ag 107.87 Ag.upf
Ta 180.95 Ta.upf
ATOMIC_POSITIONS crystal
Pd 0.0000 0.5000 0.7392
Pd 0.0000 0.5000 0.2608
Pd 0.5000 0.0000 0.2608
Pd 0.5000 0.0000 0.7392
Pd 0.5000 0.5000 0.0000
Pd 0.5000 0.5000 0.5000
Ag 0.0000 0.0000 0.0000
Ta 0.0000 0.0000 0.5000
CELL_PARAMETERS angstrom
-1.4685 -1.3862 -3.4394
0.4152 -3.7375 1.3291
-7.3383 0.2614 3.0279

! LiTbPaGa | the Alexandria database | PBE | relaxed; values from VASP
! E_tot   -4.732 eV/atom
! Symmetry   No. 216
! Calculated formation energy   13 kJ/mol of formula units
&SYSTEM
  ibrav = 0, nat = 4, ntyp = 4
/
ATOMIC_SPECIES
Ga 69.72 Ga.upf
Li 6.94 Li.upf
Tb 158.93 Tb.upf
Pa 231.04 Pa.upf
ATOMIC_POSITIONS crystal
Ga 0.5000 0.5000 0.5000
Li 0.0000 0.0000 0.0000
Tb 0.7500 0.7500 0.7500
Pa 0.2500 0.2500 0.2500
CELL_PARAMETERS angstrom
-2.2105 -2.1578 -3.9755
2.7474 -1.2835 -4.0189
0.8474 -4.8561 -1.0233

! Dy6Ga2Rh | the Alexandria database | PBE | relaxed; values from VASP
! E_tot   -4.920 eV/atom
! Symmetry   No. 71
! Calculated formation energy   -314 kJ/mol of formula units
&SYSTEM
  ibrav = 0, nat = 9, ntyp = 3
/
ATOMIC_SPECIES
Dy 162.50 Dy.upf
Rh 102.91 Rh.upf
Ga 69.72 Ga.upf
ATOMIC_POSITIONS crystal
Dy 0.1603 0.4055 0.3208
Dy 0.8397 0.0847 0.6792
Dy 0.5000 0.7603 0.0000
Dy 0.8397 0.5945 0.6792
Dy 0.1603 0.9153 0.3208
Dy 0.5000 0.2397 0.0000
Rh 0.0000 0.0000 0.0000
Ga 0.3323 0.3320 0.6639
Ga 0.6677 0.6680 0.3361
CELL_PARAMETERS angstrom
4.9127 0.0000 -0.1894
0.0000 6.9965 0.0000
-2.1775 -3.4983 7.3869

! Ga2HgP | the Alexandria database | PBE | relaxed; values from VASP
! E_tot   -2.700 eV/atom
! Symmetry   No. 225
! Calculated formation energy   93 kJ/mol of formula units
&SYSTEM
  ibrav = 0, nat = 4, ntyp = 3
/
ATOMIC_SPECIES
Ga 69.72 Ga.upf
Hg 200.59 Hg.upf
P 30.97 P.upf
ATOMIC_POSITIONS crystal
Ga 0.2500 0.2500 0.2500
Ga 0.7500 0.7500 0.7500
Hg 0.5000 0.5000 0.5000
P 0.0000 0.0000 0.0000
CELL_PARAMETERS angstrom
1.3669 -0.2594 4.6604
2.1416 3.8164 2.1222
-2.3850 2.5581 3.3798

! LiPm2Si4Rh3 | the Alexandria database | PBE | relaxed; values from VASP
! E_tot   -6.396 eV/atom
! Symmetry   No. 115
&SYSTEM
  ibrav = 0, nat = 10, ntyp = 4
/
ATOMIC_SPECIES
Si 28.09 Si.upf
Rh 102.91 Rh.upf
Li 6.94 Li.upf
Pm 145.00 Pm.upf
ATOMIC_POSITIONS crystal
Si 0.0000 0.5000 0.3691
Si 0.5000 0.0000 0.6309
Si 0.0000 0.0000 0.0000
Si 0.5000 0.5000 0.0000
Rh 0.0000 0.0000 0.5000
Rh 0.5000 0.0000 0.8768
Rh 0.0000 0.5000 0.1232
Li 0.5000 0.5000 0.5000
Pm 0.0000 0.5000 0.7525
Pm 0.5000 0.0000 0.2475
CELL_PARAMETERS angstrom
4.2225 0.0000 0.0000
0.0000 4.2225 0.0000
0.0000 0.0000 9.7103

! TbHoRhI | the Alexandria database | PBE | relaxed; values from VASP
! E_tot   -5.466 eV/atom
! Symmetry   No. 160
&SYSTEM
  ibrav = 0, nat = 4, ntyp = 4
/
ATOMIC_SPECIES
Tb 158.93 Tb.upf
Ho 164.93 Ho.upf
Rh 102.91 Rh.upf
I 126.90 I.upf
ATOMIC_POSITIONS crystal
Tb 0.5162 0.1559 0.6878
Ho 0.0908 0.9433 0.0494
Rh 0.3048 0.5502 0.8705
I 0.9661 0.3813 0.3619
CELL_PARAMETERS angstrom
-2.0895 1.4209 -3.1898
0.3966 -4.0125 0.5485
-5.3914 0.3256 6.2719

! LaSmY6Er2 | the Alexandria database | PBE | relaxed; values from VASP
! E_tot   -5.635 eV/atom
! Symmetry   No. 15
! Calculated formation energy   116 kJ/mol of formula units
&SYSTEM
  ibrav = 0, nat = 20, ntyp = 4
/
ATOMIC_SPECIES
Er 167.26 Er.upf
Y 88.91 Y.upf
Sm 150.36 Sm.upf
La 138.91 La.upf
ATOMIC_POSITIONS crystal
Er 0.9472 0.6991 0.8019
Er 0.4472 0.8019 0.6991
Er 0.0528 0.3009 0.1981
Er 0.5528 0.1981 0.3009
Y 0.3205 0.9872 0.4423
Y 0.3873 0.5177 0.2938
Y 0.5579 0.7557 0.1172
Y 0.9421 0.8828 0.2443
Y 0.6795 0.0128 0.5577
Y 0.1795 0.5577 0.0128
Y 0.0579 0.1172 0.7557
Y 0.1127 0.7062 0.4823
Y 0.8873 0.2938 0.5177
Y 0.8205 0.4423 0.9872
Y 0.6127 0.4823 0.7062
Y 0.4421 0.2443 0.8828
Sm 0.7500 0.5892 0.4108
Sm 0.2500 0.4108 0.5892
La 0.7500 0.0338 0.9662
La 0.2500 0.9662 0.0338
CELL_PARAMETERS angstrom
9.1221 -1.9077 -1.9798
0.8807 8.5803 -1.9396
0.8807 -2.2563 8.5025